No. 1
## Cs2TbPd3F12 (PBE-GGA)

Data for an optimized crystal structure of Cs2TbPd3F12.

Geometry as CIF:
```
data_Cs2TbPd3F12
_chemical_formula_sum 'Cs2 Tb1 Pd3 F12'
_space_group_name_H-M_alt 'P 1'
_space_group_IT_number 1
_cell_length_a 7.924
_cell_length_b 7.924
_cell_length_c 7.924
_cell_angle_alpha 60.03
_cell_angle_beta 60.03
_cell_angle_gamma 60.03
loop_
_space_group_symop_operation_xyz
'x,y,z'
loop_
_atom_site_label
_atom_site_type_symbol
_atom_site_fract_x
_atom_site_fract_y
_atom_site_fract_z
F1 F 0.084 0.084 0.664
Pd1 Pd 0.500 0.000 0.000
F2 F 0.664 0.084 0.084
Cs1 Cs 0.618 0.618 0.618
Pd2 Pd 0.000 0.500 0.000
F3 F 0.078 0.690 0.690
F4 F 0.916 0.916 0.336
F5 F 0.922 0.310 0.310
Cs2 Cs 0.382 0.382 0.382
F6 F 0.310 0.310 0.922
F7 F 0.690 0.078 0.690
F8 F 0.690 0.690 0.078
F9 F 0.310 0.922 0.310
F10 F 0.336 0.916 0.916
Pd3 Pd 0.000 0.000 0.500
F11 F 0.084 0.664 0.084
Tb1 Tb 0.000 0.000 0.000
F12 F 0.916 0.336 0.916
```

## Properties
* space-group type: R-3m
* calculated volume: 19.6 Å³ per atom
* formation energy from raw total energies: -2.2077 eV per atom

***

No. 2
## Cs2TcPdF6 (PBE-GGA)

Data for an optimized crystal structure of Cs2TcPdF6.

Geometry as CIF:
```
data_Cs2TcPdF6
_chemical_formula_sum 'Cs2 Tc1 Pd1 F6'
_space_group_name_H-M_alt 'P 1'
_space_group_IT_number 1
_cell_length_a 6.917
_cell_length_b 6.917
_cell_length_c 6.472
_cell_angle_alpha 57.70
_cell_angle_beta 57.70
_cell_angle_gamma 90.00
loop_
_space_group_symop_operation_xyz
'x,y,z'
loop_
_atom_site_label
_atom_site_type_symbol
_atom_site_fract_x
_atom_site_fract_y
_atom_site_fract_z
Pd1 Pd 0.000 0.000 0.000
F1 F 0.738 0.738 0.524
Tc1 Tc 0.500 0.500 0.000
Cs1 Cs 0.750 0.250 0.500
F2 F 0.262 0.262 0.476
F3 F 0.296 0.704 0.000
F4 F 0.704 0.296 0.000
F5 F 0.704 0.704 0.000
Cs2 Cs 0.250 0.750 0.500
F6 F 0.296 0.296 0.000
```

## Properties
* space-group type: I4/mmm
* calculated volume: 20.3 Å³ per atom
* formation energy from raw total energies: -2.0191 eV per atom

***

No. 3
## Cs2TePdF6 (PBE-GGA)

Data for an optimized crystal structure of Cs2TePdF6.

Geometry as CIF:
```
data_Cs2TePdF6
_chemical_formula_sum 'Cs2 Te1 Pd1 F6'
_space_group_name_H-M_alt 'P 1'
_space_group_IT_number 1
_cell_length_a 6.680
_cell_length_b 6.680
_cell_length_c 6.691
_cell_angle_alpha 60.05
_cell_angle_beta 60.05
_cell_angle_gamma 90.00
loop_
_space_group_symop_operation_xyz
'x,y,z'
loop_
_atom_site_label
_atom_site_type_symbol
_atom_site_fract_x
_atom_site_fract_y
_atom_site_fract_z
F1 F 0.772 0.228 0.000
Te1 Te 0.000 0.000 0.000
Pd1 Pd 0.500 0.500 0.000
Cs1 Cs 0.750 0.250 0.500
F2 F 0.228 0.772 0.000
Cs2 Cs 0.250 0.750 0.500
F3 F 0.773 0.773 0.453
F4 F 0.772 0.772 0.000
F5 F 0.227 0.227 0.547
F6 F 0.228 0.228 0.000
```

## Properties
* space-group type: I4/mmm
* calculated volume: 21.1 Å³ per atom
* formation energy from raw total energies: -1.9311 eV per atom

***

> Look up the formation energy from raw total energies of the third one.

-1.9311 eV per atom